CoGeWF2 | Alexandria via LeMat-Bulk | PBE+U | relaxed; ρ = 6.12 Mg/m³; total energy = -4.735 eV per atom; M_tot = 1.01 μB/atom
1.0
-1.775 3.212 1.885
-5.021 -2.505 -0.461
0.576 -1.827 3.654
W F Co Ge
1 2 1 1
Direct
0.000 0.000 0.000 W
0.500 0.000 0.000 F
0.000 0.000 0.500 F
0.500 0.500 0.500 Co
0.000 0.500 0.000 Ge